Entry 1:
# CuSi

An optimized crystal structure of CuSi (PBE, Alexandria).

```
CuSi
1.0
7.149 0.000 0.000
0.000 7.149 0.000
0.000 0.000 7.149
Cu Si
8 8
Cartesian
2.212 2.212 2.212
2.212 4.937 4.937
4.937 2.212 4.937
4.937 4.937 2.212
5.786 5.786 5.786
5.786 1.363 1.363
1.363 5.786 1.363
1.363 1.363 5.786
0.906 0.906 0.906
0.906 6.243 6.243
6.243 0.906 6.243
6.243 6.243 0.906
4.481 4.481 4.481
4.481 2.668 2.668
2.668 4.481 2.668
2.668 2.668 4.481
```

As for the uncorrected formation energy: 0.405 eV/atom.

Entry 2:
# Mg4TlHPb

An optimized crystal structure of Mg4TlHPb (PBE, Alexandria).

```
Mg4TlHPb
1.0
-3.118 2.498 4.940
1.931 -4.771 3.632
7.657 2.649 -0.592
Mg Tl H Pb
8 2 2 2
Cartesian
3.895 3.234 4.909
6.447 -0.383 4.263
2.576 -2.857 3.071
0.023 0.759 3.717
3.235 0.188 3.990
3.829 1.325 -0.296
2.270 2.574 2.174
4.794 -1.061 1.520
1.180 -1.504 5.591
5.291 1.881 2.388
4.547 -1.598 3.678
1.924 1.974 4.302
1.785 -0.360 1.309
4.685 0.737 6.671
```

For the total energy, the calculation gives -2.27 eV/atom.

Entry 3:
# RuSN3

An optimized crystal structure of RuSN3 (PBE, Alexandria).

```
RuSN3
1.0
-1.460 -3.453 -0.936
2.076 0.006 -3.259
2.914 -1.734 1.853
Ru S N
1 1 3
Cartesian
0.000 0.000 0.000
1.765 -2.590 -1.171
1.038 0.003 -1.629
1.457 -0.867 0.926
-0.730 -1.726 -0.468
```

As for the uncorrected formation energy: 1.728 eV/atom.

Entry 4:
# SrCa3

An optimized crystal structure of SrCa3 (PBE, Alexandria).

```
SrCa3
1.0
5.645 0.000 0.000
0.000 5.645 0.000
0.000 0.000 5.645
Sr Ca
1 3
Cartesian
0.000 0.000 0.000
0.000 2.822 2.822
2.822 0.000 2.822
2.822 2.822 0.000
```

For the total energy, the calculation gives -1.91 eV/atom.

Entry 5:
# Li2AcMgCl8

An optimized crystal structure of Li2AcMgCl8 (PBE, Alexandria).

```
Li2AcMgCl8
1.0
6.488 0.000 0.000
-3.244 5.619 0.000
0.000 0.000 8.017
Li Ac Mg Cl
2 1 1 8
Cartesian
3.244 1.873 2.390
0.000 3.746 5.627
0.000 0.000 0.000
0.000 0.000 4.009
0.000 3.746 8.008
0.897 1.692 2.428
1.330 5.550 2.428
3.244 1.873 0.009
1.914 0.069 5.589
2.347 3.927 5.589
5.471 1.623 5.589
-2.227 3.996 2.428
```

As for the uncorrected formation energy: -1.678 eV/atom.

Entry 6:
# Cu2SiMo

An optimized crystal structure of Cu2SiMo (PBE, Alexandria).

```
Cu2SiMo
1.0
-2.380 -3.981 -2.500
2.047 -0.530 4.826
-2.098 -0.454 1.482
Cu Mo Si
2 1 1
Cartesian
0.000 0.000 0.000
-0.166 -2.255 1.163
-2.239 -2.218 -0.509
-0.025 -0.492 3.154
```

As for the uncorrected formation energy: 0.033 eV/atom.

Entry 7:
# Rb8BiHAu2

An optimized crystal structure of Rb8BiHAu2 (PBE, Alexandria).

```
Rb8BiHAu2
1.0
8.130 0.050 -0.005
0.121 8.089 -0.008
0.007 0.015 10.111
Rb Bi H Au
8 1 1 2
Cartesian
1.450 6.333 2.209
5.840 6.131 10.099
6.802 1.811 2.209
6.807 1.820 7.889
2.417 2.023 -0.002
1.456 6.343 7.889
5.395 5.901 5.046
2.862 2.253 5.052
0.003 0.007 5.055
0.000 0.000 0.000
4.130 4.080 7.822
4.127 4.074 2.275
```

For the total energy, the calculation gives -1.96 eV/atom.

Entry 8:
# TaTi2Al2

An optimized crystal structure of TaTi2Al2 (PBE, Alexandria).

```
TaTi2Al2
1.0
4.783 -0.637 0.787
1.651 4.819 0.782
1.067 0.616 3.706
Ta Ti Al
1 2 2
Cartesian
0.825 2.409 0.391
4.849 0.518 3.663
2.651 4.280 1.612
2.836 1.403 2.037
4.665 3.394 3.239
```

For the total energy, the calculation gives -7.28 eV/atom.